(1)
Here is an optimized crystal structure of Rb3SF from Alexandria via LeMat-Bulk. Energies are from GGA-PBE.

a b c (Å): 8.2854 9.8289 9.8289
angles (deg): 78.31 79.32 79.32
Fractional positions:
Rb  0.6322  0.7772  0.0088
Rb  0.8678  0.9912  0.2228
Rb  0.3678  0.2228  0.9912
Rb  0.1322  0.0088  0.7772
Rb  0.9136  0.3564  0.8976
Rb  0.5864  0.1024  0.6436
Rb  0.0864  0.6436  0.1024
Rb  0.4136  0.8976  0.3564
Rb  0.5036  0.5868  0.6642
Rb  0.9964  0.3358  0.4132
Rb  0.4964  0.4132  0.3358
Rb  0.0036  0.6642  0.5868
S  0.2500  0.9128  0.0872
S  0.7500  0.0872  0.9128
S  0.2500  0.3441  0.6559
S  0.7500  0.6559  0.3441
F  0.7516  0.6106  0.8104
F  0.7484  0.1896  0.3894
F  0.2484  0.3894  0.1896
F  0.2516  0.8104  0.6106

Values from the calculation:
ρ ... 2.68 Mg/m³
Symmetry ... C2/c

***

(2)
Here is an optimized crystal structure of Rb4SF2 from Alexandria via LeMat-Bulk. Energies are from GGA-PBE.

a b c (Å): 4.4271 7.0887 13.9781
angles (deg): 90.00 90.00 108.20
Fractional positions:
Rb  0.7753  0.5505  0.1136
Rb  0.7753  0.5505  0.3864
Rb  0.2247  0.4495  0.8864
Rb  0.2247  0.4495  0.6136
Rb  0.9424  0.8848  0.7500
Rb  0.0576  0.1152  0.2500
Rb  0.5000  0.0000  0.0000
Rb  0.5000  0.0000  0.5000
S  0.6122  0.2244  0.7500
S  0.3878  0.7756  0.2500
F  0.1302  0.2605  0.4402
F  0.8698  0.7395  0.9402
F  0.1302  0.2605  0.0598
F  0.8698  0.7395  0.5598

Values from the calculation:
ρ ... 3.28 Mg/m³
Symmetry ... Cmcm

***

(3)
Here is an optimized crystal structure of RbSF2 from Alexandria via LeMat-Bulk. Energies are from GGA-PBE.

a b c (Å): 6.8693 6.8693 6.8693
angles (deg): 35.99 35.99 35.99
Fractional positions:
S  0.0000  0.0000  0.0000
Rb  0.5000  0.5000  0.5000
F  0.9024  0.9024  0.9024
F  0.0976  0.0976  0.0976

Values from the calculation:
ρ ... 2.58 Mg/m³
Symmetry ... R-3m

***

no.,formation energy from raw total energies (eV/atom)
1,-1.59
2,-1.90
3,-1.51